Density functional theory data (GGA-PBE) for a relaxed Hg2AsRu crystal.

The space group is Imm2 (No. 44) and the conventional cell measures 3.022, 4.781 and 12.241 Å, with angles of 90.00, 90.00 and 90.00 degrees. The inequivalent atoms are Hg at (0.000, 0.000, 0.000), Hg at (0.000, 0.500, 0.182), As at (0.000, 0.000, 0.354) and Ru at (0.000, 0.500, 0.703).

The formation energy is 189 meV per atom. The calculated volume comes out at 176.8 Å³/cell.

Density functional theory data (GGA-PBE) for a relaxed HgAsRu crystal.

The space group is P-6m2 (No. 187) and the conventional cell measures 4.1697, 4.1697 and 3.7185 Å, with angles of 90.00, 90.00 and 120.00 degrees. The inequivalent atoms are Hg at (0.0000, 0.0000, 0.0000), As at (0.3333, 0.6667, 0.5000) and Ru at (0.6667, 0.3333, 0.5000).

The formation energy is 272 meV per atom. The calculated volume comes out at 56.0 Å³/cell.

Density functional theory data (GGA-PBE) for a relaxed Hg2AsRu crystal.

The space group is R-3m (No. 166, hexagonal axes) and the conventional cell measures 3.1043, 3.1043 and 28.1833 Å, with angles of 90.00, 90.00 and 120.00 degrees. The inequivalent atoms are Hg at (0.0000, 0.0000, 0.2452), As at (0.0000, 0.0000, 0.0000) and Ru at (0.0000, 0.0000, 0.5000).

The formation energy is 583 meV per atom. The calculated volume comes out at 235.2 Å³/cell.

Density functional theory data (GGA-PBE) for a relaxed HgAsRu2 crystal.

The space group is Pmm2 (No. 25) and the conventional cell measures 2.996, 4.610 and 4.956 Å, with angles of 90.00, 90.00 and 90.00 degrees. The inequivalent atoms are Hg at (0.000, 0.000, 0.000), As at (0.500, 0.500, 0.279), Ru at (0.000, 0.500, 0.659) and Ru at (0.500, 0.000, 0.515).

The formation energy is 350 meV per atom. The calculated volume comes out at 68.4 Å³/cell.

Density functional theory data (GGA-PBE) for a relaxed Hg2AsRu crystal.

The space group is Cmmm (No. 65) and the conventional cell measures 5.422, 8.509 and 3.320 Å, with angles of 90.00, 90.00 and 90.00 degrees. The inequivalent atoms are Hg at (0.250, 0.250, 0.000), As at (0.000, 0.000, 0.500) and Ru at (0.000, 0.500, 0.500).

The formation energy is 558 meV per atom. The calculated volume comes out at 153.2 Å³/cell.

Density functional theory data (GGA-PBE) for a relaxed Hg3AsRu crystal.

The space group is Pm-3m (No. 221) and the conventional cell measures 5.236, 5.236 and 5.236 Å, with angles of 90.00, 90.00 and 90.00 degrees. The inequivalent atoms are Hg at (0.000, 0.000, 0.500), As at (0.500, 0.500, 0.500) and Ru at (0.000, 0.000, 0.000).

The formation energy is 921 meV per atom. The calculated volume comes out at 143.6 Å³/cell.